[1]
Crystalline CsLi2GePd at its relaxed geometry. Source: the Alexandria database, functional PBE.

The mass density is 4.046 g/cm³. The value obtained for the electronic total energy is -15.37 eV per cell. The relative energy among the computed polymorphs comes out at 0 meV per atom. Its magnetic moment is 0.00 μB/f.u. The calculation puts the formation energy at -0.877 eV/f.u.

It has space group P4/mmm (No. 123), with a = 5.3019 Å, b = 5.3019 Å, c = 4.7571 Å, α = 90.00°, β = 90.00° and γ = 90.00°. The asymmetric unit holds Cs at (0.0000, 0.0000, 0.0000), Li at (0.0000, 0.5000, 0.5000), Ge at (0.5000, 0.5000, 0.0000) and Pd at (0.5000, 0.5000, 0.5000).

[2]
Crystalline GdURh2 at its relaxed geometry. Source: the Alexandria database, functional PBE.

The mass density is 11.604 g/cm³. The value obtained for the electronic total energy is -126.80 eV per cell. The relative energy among the computed polymorphs comes out at 29 meV per atom. Its magnetic moment is 8.74 μB/f.u. The calculation puts the formation energy at -2.195 eV/f.u.

It has space group R-3m (No. 166, hexagonal axes), with a = 4.5203 Å, b = 4.5203 Å, c = 14.5827 Å, α = 90.00°, β = 90.00° and γ = 120.00°. The asymmetric unit holds Gd at (0.0000, 0.0000, 0.0000), U at (0.0000, 0.0000, 0.5000) and Rh at (0.0000, 0.0000, 0.2174).

[3]
Crystalline AcNd6Y8 at its relaxed geometry. Source: the Alexandria database, functional PBE.

The mass density is 5.768 g/cm³. The value obtained for the electronic total energy is -247.30 eV per cell. Its magnetic moment is 0.00 μB/f.u. The calculation puts the formation energy at 1.995 eV/f.u.

It has space group R-3 (No. 148, hexagonal axes), with a = 9.1788 Å, b = 9.1788 Å, c = 21.3508 Å, α = 90.00°, β = 90.00° and γ = 120.00°. The asymmetric unit holds Ac at (0.0000, 0.0000, 0.0000), Nd at (0.0526, 0.2434, 0.7112), Y at (0.0000, 0.0000, 0.4224) and Y at (0.0792, 0.5614, 0.8073).

[4]
Crystalline Pr8Ga3CoBr4 at its relaxed geometry. Source: the Alexandria database, functional PBE.

The mass density is 6.035 g/cm³. The value obtained for the electronic total energy is -148.75 eV per cell. Its magnetic moment is 0.00 μB/f.u. Its energy relative to the elements, uncorrected is -0.829 eV/atom.

It has space group C2/m (No. 12), with a = 14.9823 Å, b = 8.4258 Å, c = 9.0304 Å, α = 90.00°, β = 124.11° and γ = 90.00°. The asymmetric unit holds Pr at (0.0077, 0.2307, 0.2928), Pr at (0.2341, 0.0000, 0.7218), Pr at (0.2447, 0.5000, 0.7361), Ga at (0.0000, 0.5000, 0.5000), Ga at (0.2500, 0.2500, 0.5000), Co at (0.0000, 0.0000, 0.5000), Br at (0.0000, 0.0000, 0.0000), Br at (0.0000, 0.5000, 0.0000) and Br at (0.2500, 0.2500, 0.0000).

[5]
Crystalline YTh2TlC at its relaxed geometry. Source: the Alexandria database, functional PBE.

The mass density is 9.903 g/cm³. The value obtained for the electronic total energy is -34.41 eV per cell. Its magnetic moment is 0.00 μB/f.u. The calculation puts the formation energy at -1.519 eV/f.u.

It has space group P4/mmm (No. 123), with a = 5.0801 Å, b = 5.0801 Å, c = 4.9990 Å, α = 90.00°, β = 90.00° and γ = 90.00°. The asymmetric unit holds Y at (0.0000, 0.0000, 0.0000), Th at (0.0000, 0.5000, 0.5000), Tl at (0.5000, 0.5000, 0.0000) and C at (0.0000, 0.0000, 0.5000).

[6]
Crystalline SrAcNd2 at its relaxed geometry. Source: the Alexandria database, functional PBE.

The mass density is 6.102 g/cm³. The value obtained for the electronic total energy is -58.23 eV per cell. The relative energy among the computed polymorphs comes out at 98 meV per atom. Its magnetic moment is 0.59 μB/f.u. The calculation puts the formation energy at 0.767 eV/f.u.

It has space group Fm-3m (No. 225), with a = 8.6911 Å, b = 8.6911 Å, c = 8.6911 Å, α = 90.00°, β = 90.00° and γ = 90.00°. The asymmetric unit holds Sr at (0.0000, 0.0000, 0.0000), Ac at (0.0000, 0.0000, 0.5000) and Nd at (0.2500, 0.2500, 0.2500).

[7]
Crystalline LiPmAlRu at its relaxed geometry. Source: the Alexandria database, functional PBE.

The mass density is 6.386 g/cm³. The value obtained for the electronic total energy is -82.54 eV per cell. Its magnetic moment is 0.00 μB/f.u. The calculation puts the formation energy at -0.952 eV/f.u.

It has space group F-43m (No. 216), with a = 6.6283 Å, b = 6.6283 Å, c = 6.6283 Å, α = 90.00°, β = 90.00° and γ = 90.00°. The asymmetric unit holds Li at (0.0000, 0.0000, 0.0000), Pm at (0.2500, 0.2500, 0.7500), Al at (0.2500, 0.2500, 0.2500) and Ru at (0.0000, 0.0000, 0.5000).

[8]
Crystalline CaMnNi at its relaxed geometry. Source: the Alexandria database, functional PBE.

The mass density is 4.507 g/cm³. The value obtained for the electronic total energy is -32.82 eV per cell. Its magnetic moment is 4.00 μB/f.u. The calculation puts the formation energy at 0.540 eV/f.u.

It has space group I4mm (No. 107), with a = 3.2872 Å, b = 3.2872 Å, c = 10.4817 Å, α = 90.00°, β = 90.00° and γ = 90.00°. The asymmetric unit holds Ca at (0.0000, 0.0000, 0.0000), Mn at (0.0000, 0.0000, 0.7171) and Ni at (0.0000, 0.0000, 0.3001).

Question: Which value of electronic total energy does entry 4 give?
Answer: -148.75 eV per cell

Repeat the second record exactly.
Crystalline GdURh2 at its relaxed geometry. Source: the Alexandria database, functional PBE.

The mass density is 11.604 g/cm³. The value obtained for the electronic total energy is -126.80 eV per cell. The relative energy among the computed polymorphs comes out at 29 meV per atom. Its magnetic moment is 8.74 μB/f.u. The calculation puts the formation energy at -2.195 eV/f.u.

It has space group R-3m (No. 166, hexagonal axes), with a = 4.5203 Å, b = 4.5203 Å, c = 14.5827 Å, α = 90.00°, β = 90.00° and γ = 120.00°. The asymmetric unit holds Gd at (0.0000, 0.0000, 0.0000), U at (0.0000, 0.0000, 0.5000) and Rh at (0.0000, 0.0000, 0.2174).

Question: What is the electronic total energy in the third record?
Answer: -247.30 eV per cell